1.
## Nd12HgRh6 (PBE)

Data for a relaxed structure of Nd12HgRh6.

Space-group type: R-3
ρ (g/cm³): 7.3
Total moment (μB per formula unit): 0.0
ΔH_f (0 K) (meV/atom): -424

Lattice parameters (Å, degrees): 8.600 8.600 8.600 102.87 102.87 102.87
Fractional coordinates of all 19 atoms:
1 Nd 0.827 0.584 0.439
2 Nd 0.439 0.827 0.584
3 Nd 0.584 0.439 0.827
4 Nd 0.173 0.416 0.561
5 Nd 0.561 0.173 0.416
6 Nd 0.416 0.561 0.173
7 Nd 0.074 0.923 0.334
8 Nd 0.077 0.666 0.926
9 Nd 0.666 0.926 0.077
10 Nd 0.926 0.077 0.666
11 Nd 0.923 0.334 0.074
12 Nd 0.334 0.074 0.923
13 Hg 0.000 0.000 0.000
14 Rh 0.690 0.856 0.386
15 Rh 0.614 0.310 0.144
16 Rh 0.144 0.614 0.310
17 Rh 0.310 0.144 0.614
18 Rh 0.386 0.690 0.856
19 Rh 0.856 0.386 0.690

***

2.
## B2C (PBE)

Data for a relaxed structure of B2C.

Space-group type: Pm
ρ (g/cm³): 2.7
Total moment (μB per formula unit): 0.0
ΔH_f (0 K) (meV/atom): 440

Lattice parameters (Å, degrees): 2.581 4.598 6.948 89.96 90.00 90.00
Fractional coordinates of all 12 atoms:
1 B 0.500 0.522 0.147
2 B 0.000 0.264 0.214
3 B 0.000 0.015 0.019
4 B 0.500 0.762 0.937
5 B 0.500 0.570 0.516
6 B 0.000 0.242 0.484
7 B 0.000 0.926 0.297
8 B 0.500 0.404 0.870
9 C 0.500 0.744 0.322
10 C 0.000 0.232 0.835
11 C 0.000 0.009 0.668
12 C 0.500 0.811 0.692

***

3.
## Cs2HgH2F6 (PBE)

Data for a relaxed structure of Cs2HgH2F6.

Energy (hartree per atom): -0.138
Space-group type: C2/m
ρ (g/cm³): 5.0
Total moment (μB per formula unit): 0.0

Lattice parameters (Å, degrees): 6.307 6.095 7.198 118.92 90.00 121.16
Fractional coordinates of all 11 atoms:
1 Cs 0.735 0.471 0.204
2 Cs 0.265 0.529 0.796
3 Hg 0.500 0.000 0.500
4 H 0.901 0.803 0.770
5 H 0.099 0.197 0.230
6 F 0.824 0.647 0.803
7 F 0.262 0.028 0.292
8 F 0.234 0.972 0.708
9 F 0.738 0.972 0.708
10 F 0.766 0.028 0.292
11 F 0.176 0.353 0.197

***

4.
## SrBeAg2Au (PBE)

Data for a relaxed structure of SrBeAg2Au.

Space-group type: P4/mmm
ρ (g/cm³): 8.1
Total moment (μB per formula unit): 0.0
ΔH_f (0 K) (meV/atom): -199

Lattice parameters (Å, degrees): 4.735 4.735 4.672 90.00 90.00 90.00
Fractional coordinates of all 5 atoms:
1 Sr 0.500 0.500 0.500
2 Au 0.000 0.000 0.500
3 Ag 0.000 0.500 0.000
4 Ag 0.500 0.000 0.000
5 Be 0.000 0.000 0.000

***

5.
## CsGaP (PBE)

Data for a relaxed structure of CsGaP.

Space-group type: Cmcm
ρ (g/cm³): 4.0
Total moment (μB per formula unit): 0.0
ΔH_f (0 K) (meV/atom): -179

Lattice parameters (Å, degrees): 3.951 5.115 9.705 90.00 101.75 90.00
Fractional coordinates of all 6 atoms:
1 Cs 0.675 0.750 0.351
2 Cs 0.325 0.250 0.649
3 Ga 0.535 0.250 0.071
4 Ga 0.465 0.750 0.929
5 P 0.896 0.750 0.793
6 P 0.104 0.250 0.207

***

6.
## LaTlTc3 (PBE)

Data for a relaxed structure of LaTlTc3.

Space-group type: Pm-3m
ρ (g/cm³): 8.3
Total moment (μB per formula unit): 4.5
ΔH_f (0 K) (meV/atom): 1800

Lattice parameters (Å, degrees): 5.029 5.029 5.029 90.00 90.00 90.00
Each line ends with the local moment (μB).
Fractional coordinates of all 5 atoms:
1 Tl 0.000 0.000 0.000  -0.01
2 Tc 0.000 0.500 0.000  1.43
3 Tc 0.000 0.000 0.500  1.49
4 Tc 0.500 0.000 0.000  1.00
5 La 0.500 0.500 0.500  0.01

***

7.
## PrZnGa3Ag (PBE)

Data for a relaxed structure of PrZnGa3Ag.

Space-group type: Cmcm
ρ (g/cm³): 6.8
Total moment (μB per formula unit): 0.0
ΔH_f (0 K) (meV/atom): -135

Lattice parameters (Å, degrees): 6.548 5.827 7.298 113.53 90.00 90.00
Fractional coordinates of all 12 atoms:
1 Pr 0.750 0.313 0.625
2 Pr 0.250 0.687 0.375
3 Zn 0.250 0.904 0.808
4 Zn 0.750 0.096 0.192
5 Ga 0.250 0.121 0.241
6 Ga 0.000 0.281 0.000
7 Ga 0.500 0.719 0.000
8 Ga 0.500 0.281 0.000
9 Ga 0.000 0.719 0.000
10 Ga 0.750 0.879 0.759
11 Ag 0.250 0.335 0.671
12 Ag 0.750 0.665 0.329

***

8.
## Tl4Rh (PBE)

Data for a relaxed structure of Tl4Rh.

Space-group type: R-3m
ρ (g/cm³): 11.8
Total moment (μB per formula unit): 0.0
ΔH_f (0 K) (meV/atom): 108

Lattice parameters (Å, degrees): 12.875 12.875 12.875 15.31 15.31 15.31
Fractional coordinates of all 5 atoms:
1 Tl 0.385 0.385 0.385
2 Tl 0.793 0.793 0.793
3 Tl 0.207 0.207 0.207
4 Tl 0.615 0.615 0.615
5 Rh 0.000 0.000 0.000

***

9.
## NaLaAl2Cu (PBE)

Data for a relaxed structure of NaLaAl2Cu.

Space-group type: P4/mmm
ρ (g/cm³): 3.9
Total moment (μB per formula unit): 0.0
ΔH_f (0 K) (meV/atom): 505

Lattice parameters (Å, degrees): 5.038 4.746 5.038 90.00 90.00 90.00
Fractional coordinates of all 5 atoms:
1 Na 0.000 0.000 0.000
2 Al 0.000 0.000 0.500
3 Al 0.500 0.000 0.000
4 Cu 0.000 0.500 0.000
5 La 0.500 0.500 0.500

***

10.
## MgTaNb2F (PBE)

Data for a relaxed structure of MgTaNb2F.

Space-group type: P4/mmm
Formation energy (no corrections) (eV per formula unit): 2.48
ρ (g/cm³): 6.4
Total moment (μB per formula unit): 0.0

Lattice parameters (Å, degrees): 5.140 5.140 4.022 90.00 90.00 90.00
Fractional coordinates of all 5 atoms:
1 Nb 0.000 0.500 0.000
2 Nb 0.500 0.000 0.000
3 F 0.000 0.000 0.500
4 Mg 0.500 0.500 0.500
5 Ta 0.000 0.000 0.000

***

11.
## FeSn (PBE)

Data for a relaxed structure of FeSn.

Space-group type: F-43m
ρ (g/cm³): 5.4
Total moment (μB per formula unit): 2.6
ΔH_f (0 K) (meV/atom): 985

Lattice parameters (Å, degrees): 5.978 5.978 5.978 90.00 90.00 90.00
Each line ends with the local moment (μB).
Fractional coordinates of all 8 atoms:
1 Fe 0.250 0.250 0.250  2.70
2 Fe 0.250 0.750 0.750  2.70
3 Fe 0.750 0.250 0.750  2.70
4 Fe 0.750 0.750 0.250  2.70
5 Sn 0.000 0.000 0.000  -0.18
6 Sn 0.000 0.500 0.500  -0.18
7 Sn 0.500 0.000 0.500  -0.18
8 Sn 0.500 0.500 0.000  -0.18

***

12.
## CuPd5Au6 (PBE)

Data for a relaxed structure of CuPd5Au6.

Space-group type: C2/m
ρ (g/cm³): 14.9
Total moment (μB per formula unit): 0.0
ΔH_f (0 K) (meV/atom): -77

Lattice parameters (Å, degrees): 4.071 8.024 7.544 122.13 105.54 90.00
Fractional coordinates of all 12 atoms:
1 Au 0.834 0.587 0.669
2 Au 0.834 0.082 0.669
3 Au 0.500 0.754 0.000
4 Au 0.500 0.246 0.000
5 Au 0.166 0.918 0.331
6 Au 0.166 0.413 0.331
7 Pd 0.664 0.164 0.328
8 Pd 0.334 0.334 0.668
9 Pd 0.000 0.500 0.000
10 Pd 0.666 0.666 0.332
11 Pd 0.336 0.836 0.672
12 Cu 0.000 0.000 0.000

***

13.
## LaMgZn2 (PBE)

Data for a relaxed structure of LaMgZn2.

Space-group type: R3m
ρ (g/cm³): 5.0
Total moment (μB per formula unit): 0.0
ΔH_f (0 K) (meV/atom): 55

Lattice parameters (Å, degrees): 9.234 9.234 9.234 22.15 22.15 22.15
Fractional coordinates of all 4 atoms:
1 La 0.509 0.509 0.509
2 Mg 0.732 0.732 0.732
3 Zn 0.992 0.992 0.992
4 Zn 0.267 0.267 0.267

***

14.
## CrInW2 (PBE)

Data for a relaxed structure of CrInW2.

Space-group type: Cmmm
ρ (g/cm³): 13.6
Total moment (μB per formula unit): 0.0
ΔH_f (0 K) (meV/atom): 438

Lattice parameters (Å, degrees): 2.798 2.798 8.952 90.00 90.00 111.30
Fractional coordinates of all 4 atoms:
1 Cr 0.500 0.500 0.250
2 In 0.500 0.500 0.750
3 W 0.000 0.000 0.026
4 W 0.000 0.000 0.474

***

15.
## Ba3SnH (PBE)

Data for a relaxed structure of Ba3SnH.

Energy (hartree per atom): -0.112
Space-group type: Pm-3m
ρ (g/cm³): 5.1
Total moment (μB per formula unit): 0.0

Lattice parameters (Å, degrees): 5.570 5.570 5.570 90.00 90.00 90.00
Fractional coordinates of all 5 atoms:
1 H 0.000 0.000 0.000
2 Ba 0.000 0.500 0.000
3 Ba 0.000 0.000 0.500
4 Ba 0.500 0.000 0.000
5 Sn 0.500 0.500 0.500

***

16.
## Cs2K7 (PBE)

Data for a relaxed structure of Cs2K7.

Space-group type: R-3m
ρ (g/cm³): 1.2
Total moment (μB per formula unit): 0.0
ΔH_f (0 K) (meV/atom): 18

Lattice parameters (Å, degrees): 8.870 8.870 22.996 78.88 78.88 60.00
Fractional coordinates of all 18 atoms:
1 Cs 0.057 0.057 0.830
2 Cs 0.943 0.943 0.170
3 Cs 0.152 0.152 0.545
4 Cs 0.848 0.848 0.455
5 K 0.500 0.500 0.500
6 K 0.278 0.278 0.167
7 K 0.722 0.722 0.833
8 K 0.389 0.389 0.832
9 K 0.611 0.611 0.168
10 K 0.500 0.000 0.000
11 K 0.000 0.500 0.000
12 K 0.500 0.500 0.000
13 K 0.613 0.613 0.665
14 K 0.613 0.109 0.665
15 K 0.109 0.613 0.665
16 K 0.387 0.387 0.335
17 K 0.387 0.891 0.335
18 K 0.891 0.387 0.335

***

17.
## RbTl2SnCl5 (PBE)

Data for a relaxed structure of RbTl2SnCl5.

Space-group type: Cmc2_1
Formation energy (no corrections) (eV per formula unit): -10.72
ρ (g/cm³): 4.2
Total moment (μB per formula unit): 0.0

Lattice parameters (Å, degrees): 4.839 10.383 12.715 90.00 90.00 103.47
Fractional coordinates of all 18 atoms:
1 Rb 0.776 0.552 0.497
2 Rb 0.224 0.448 0.997
3 Tl 0.869 0.738 0.785
4 Tl 0.121 0.242 0.685
5 Tl 0.131 0.262 0.285
6 Tl 0.879 0.758 0.185
7 Sn 0.527 0.053 0.963
8 Sn 0.473 0.947 0.463
9 Cl 0.382 0.764 0.012
10 Cl 0.648 0.296 0.867
11 Cl 0.482 0.963 0.767
12 Cl 0.275 0.549 0.690
13 Cl 0.935 0.869 0.558
14 Cl 0.618 0.236 0.512
15 Cl 0.352 0.704 0.367
16 Cl 0.518 0.037 0.267
17 Cl 0.725 0.451 0.190
18 Cl 0.065 0.131 0.058

***

18.
## NaTl2NiSn (PBE)

Data for a relaxed structure of NaTl2NiSn.

Space-group type: P4/mmm
ρ (g/cm³): 7.7
Total moment (μB per formula unit): 0.0
ΔH_f (0 K) (meV/atom): 29

Lattice parameters (Å, degrees): 5.114 5.114 5.008 90.00 90.00 90.00
Fractional coordinates of all 5 atoms:
1 Ni 0.000 0.000 0.000
2 Tl 0.000 0.500 0.000
3 Tl 0.500 0.000 0.000
4 Sn 0.000 0.000 0.500
5 Na 0.500 0.500 0.500

***

19.
## Pm6Y12Cd (PBE)

Data for a relaxed structure of Pm6Y12Cd.

Space-group type: R-3
ρ (g/cm³): 5.5
Total moment (μB per formula unit): 0.0
ΔH_f (0 K) (meV/atom): 90

Lattice parameters (Å, degrees): 8.546 8.546 8.546 88.95 88.95 88.95
Fractional coordinates of all 19 atoms:
1 Pm 0.738 0.906 0.295
2 Pm 0.705 0.262 0.094
3 Pm 0.094 0.705 0.262
4 Pm 0.262 0.094 0.705
5 Pm 0.295 0.738 0.906
6 Pm 0.906 0.295 0.738
7 Y 0.781 0.537 0.437
8 Y 0.437 0.781 0.537
9 Y 0.537 0.437 0.781
10 Y 0.219 0.463 0.563
11 Y 0.563 0.219 0.463
12 Y 0.463 0.563 0.219
13 Y 0.016 0.180 0.362
14 Y 0.820 0.638 0.984
15 Y 0.638 0.984 0.820
16 Y 0.984 0.820 0.638
17 Y 0.180 0.362 0.016
18 Y 0.362 0.016 0.180
19 Cd 0.000 0.000 0.000

***

20.
## ScTaHg2 (PBE)

Data for a relaxed structure of ScTaHg2.

Space-group type: I-4m2
ρ (g/cm³): 12.7
Total moment (μB per formula unit): 1.2
ΔH_f (0 K) (meV/atom): 211

Lattice parameters (Å, degrees): 5.566 5.566 5.566 135.98 135.98 64.01
Each line ends with the local moment (μB).
Fractional coordinates of all 4 atoms:
1 Hg 0.000 0.000 0.000  0.04
2 Hg 0.250 0.750 0.500  0.01
3 Sc 0.500 0.500 0.000  0.21
4 Ta 0.750 0.250 0.500  0.55

***

21.
## TbPm4DyHo2 (PBE)

Data for a relaxed structure of TbPm4DyHo2.

Space-group type: P2/m
ρ (g/cm³): 7.8
Total moment (μB per formula unit): 0.0
ΔH_f (0 K) (meV/atom): 16

Lattice parameters (Å, degrees): 5.106 5.086 11.308 63.22 90.00 90.00
Fractional coordinates of all 8 atoms:
1 Tb 0.500 0.500 0.000
2 Pm 0.000 0.750 0.750
3 Pm 0.000 0.250 0.250
4 Pm 0.500 0.749 0.250
5 Pm 0.500 0.251 0.750
6 Dy 0.000 0.500 0.500
7 Ho 0.000 0.000 0.000
8 Ho 0.500 0.000 0.500

***

22.
## Pb5Se (PBE)

Data for a relaxed structure of Pb5Se.

Space-group type: Cmmm
Formation energy (no corrections) (eV per formula unit): -0.38
ρ (g/cm³): 10.3
Total moment (μB per formula unit): 0.0

Lattice parameters (Å, degrees): 3.779 5.569 9.010 108.00 90.00 90.00
Fractional coordinates of all 6 atoms:
1 Pb 0.500 0.854 0.709
2 Pb 0.000 0.680 0.360
3 Pb 0.500 0.500 0.000
4 Pb 0.000 0.320 0.640
5 Pb 0.500 0.146 0.291
6 Se 0.000 0.000 0.000

***

23.
## BaInSn (PBE)

Data for a relaxed structure of BaInSn.

Space-group type: F-43m
ρ (g/cm³): 5.2
Total moment (μB per formula unit): 0.0
ΔH_f (0 K) (meV/atom): -324

Lattice parameters (Å, degrees): 5.514 5.514 5.514 60.00 60.00 60.00
Fractional coordinates of all 3 atoms:
1 In 0.500 0.500 0.500
2 Ba 0.000 0.000 0.000
3 Sn 0.250 0.250 0.250

***

24.
## Mn2OsN2 (PBE)

Data for a relaxed structure of Mn2OsN2.

Space-group type: P4/mbm
Formation energy (no corrections) (eV per formula unit): 2.17
ρ (g/cm³): 10.6
Total moment (μB per formula unit): 6.6

Lattice parameters (Å, degrees): 5.839 5.839 3.010 90.00 90.00 90.00
Each line ends with the local moment (μB).
Fractional coordinates of all 10 atoms:
1 Mn 0.154 0.654 0.500  3.25
2 Mn 0.654 0.846 0.500  3.22
3 Mn 0.846 0.346 0.500  3.24
4 Mn 0.346 0.154 0.500  3.22
5 Os 0.000 0.000 0.000  0.07
6 Os 0.500 0.500 0.000  0.07
7 N 0.326 0.826 0.000  -0.05
8 N 0.826 0.674 0.000  -0.06
9 N 0.674 0.174 0.000  -0.05
10 N 0.174 0.326 0.000  -0.06